1.
VASP calculation (GGA-PBE) on a geometry-optimized LiCdSb2 structure.

Calculated volume (Å³/atom): 24.12
SG: Pmmm, No. 47
Energy relative to the elements, uncorrected (kcal/mol of atoms): -2.824

```
data_LiCdSb2
_space_group_name_H-M_alt 'P 1'
_space_group_IT_number 1
_space_group_name_Hall 'P 1'
_cell_length_a 4.5534
_cell_length_b 4.9299
_cell_length_c 4.2973
_cell_angle_alpha 90.00
_cell_angle_beta 90.00
_cell_angle_gamma 90.00
loop_
_atom_site_label
_atom_site_fract_x
_atom_site_fract_y
_atom_site_fract_z
_atom_site_occupancy
Cd1 0.5000 0.0000 0.5000 1
Li1 0.0000 0.5000 0.5000 1
Sb1 0.0000 0.0000 0.0000 1
Sb2 0.5000 0.5000 0.0000 1
```

---

2.
VASP calculation (GGA-PBE) on a geometry-optimized HfBeSb2Ir structure.

Calculated volume (Å³/atom): 28.99
SG: P4/mmm, No. 123
Energy relative to the elements, uncorrected (kcal/mol of atoms): 29.144

```
data_HfBeSb2Ir
_space_group_name_H-M_alt 'P 1'
_space_group_IT_number 1
_space_group_name_Hall 'P 1'
_cell_length_a 5.4491
_cell_length_b 4.8816
_cell_length_c 5.4491
_cell_angle_alpha 90.00
_cell_angle_beta 90.00
_cell_angle_gamma 90.00
loop_
_atom_site_label
_atom_site_fract_x
_atom_site_fract_y
_atom_site_fract_z
_atom_site_occupancy
Sb1 0.0000 0.0000 0.5000 1
Sb2 0.5000 0.0000 0.0000 1
Ir1 0.0000 0.5000 0.0000 1
Hf1 0.0000 0.0000 0.0000 1
Be1 0.5000 0.5000 0.5000 1
```

---

3.
VASP calculation (GGA-PBE) on a geometry-optimized PtRhN3 structure.

Calculated volume (Å³/atom): 11.68
SG: Pm-3m, No. 221
Energy relative to the elements, uncorrected (kcal/mol of atoms): 49.007

```
data_PtRhN3
_space_group_name_H-M_alt 'P 1'
_space_group_IT_number 1
_space_group_name_Hall 'P 1'
_cell_length_a 3.8795
_cell_length_b 3.8795
_cell_length_c 3.8795
_cell_angle_alpha 90.00
_cell_angle_beta 90.00
_cell_angle_gamma 90.00
loop_
_atom_site_label
_atom_site_fract_x
_atom_site_fract_y
_atom_site_fract_z
_atom_site_occupancy
Rh1 0.5000 0.5000 0.5000 1
Pt1 0.0000 0.0000 0.0000 1
N1 0.0000 0.5000 0.0000 1
N2 0.0000 0.0000 0.5000 1
N3 0.5000 0.0000 0.0000 1
```

---

4.
VASP calculation (GGA-PBE) on a geometry-optimized NpTiInO6 structure.

Calculated volume (Å³/atom): 12.91
SG: P-31c, No. 163
Energy relative to the elements, uncorrected (kcal/mol of atoms): -57.493

```
data_NpTiInO6
_space_group_name_H-M_alt 'P 1'
_space_group_IT_number 1
_space_group_name_Hall 'P 1'
_cell_length_a 5.4028
_cell_length_b 5.4028
_cell_length_c 9.1946
_cell_angle_alpha 90.00
_cell_angle_beta 90.00
_cell_angle_gamma 120.00
loop_
_atom_site_label
_atom_site_fract_x
_atom_site_fract_y
_atom_site_fract_z
_atom_site_occupancy
Np1 0.3333 0.6667 0.2500 1
Np2 0.6667 0.3333 0.7500 1
Ti1 0.6667 0.3333 0.2500 1
Ti2 0.3333 0.6667 0.7500 1
In1 0.0000 0.0000 0.0000 1
In2 0.0000 0.0000 0.5000 1
O1 0.6627 0.6436 0.1344 1
O2 0.9809 0.3373 0.1344 1
O3 0.3373 0.9809 0.6344 1
O4 0.0191 0.6627 0.8656 1
O5 0.3564 0.3373 0.3656 1
O6 0.9809 0.6436 0.3656 1
O7 0.6436 0.9809 0.8656 1
O8 0.6627 0.0191 0.3656 1
O9 0.0191 0.3564 0.6344 1
O10 0.3564 0.0191 0.1344 1
O11 0.6436 0.6627 0.6344 1
O12 0.3373 0.3564 0.8656 1
```

---

5.
VASP calculation (GGA-PBE) on a geometry-optimized Ce2ThGeN2 structure.

Calculated volume (Å³/atom): 22.54
SG: P4/mmm, No. 123
Energy relative to the elements, uncorrected (kcal/mol of atoms): -18.906

```
data_Ce2ThGeN2
_space_group_name_H-M_alt 'P 1'
_space_group_IT_number 1
_space_group_name_Hall 'P 1'
_cell_length_a 4.5587
_cell_length_b 4.5587
_cell_length_c 6.5087
_cell_angle_alpha 90.00
_cell_angle_beta 90.00
_cell_angle_gamma 90.00
loop_
_atom_site_label
_atom_site_fract_x
_atom_site_fract_y
_atom_site_fract_z
_atom_site_occupancy
Ce1 0.5000 0.5000 0.7570 1
Ce2 0.5000 0.5000 0.2430 1
Th1 0.0000 0.0000 0.0000 1
Ge1 0.0000 0.0000 0.5000 1
N1 0.5000 0.0000 0.0000 1
N2 0.0000 0.5000 0.0000 1
```

---

6.
VASP calculation (GGA-PBE) on a geometry-optimized SmU3Tl3Se8 structure.

Calculated volume (Å³/atom): 31.60
SG: R-3m, No. 166
Energy relative to the elements, uncorrected (kcal/mol of atoms): -24.727

```
data_SmU3Tl3Se8
_space_group_name_H-M_alt 'P 1'
_space_group_IT_number 1
_space_group_name_Hall 'P 1'
_cell_length_a 8.3624
_cell_length_b 8.3624
_cell_length_c 9.1992
_cell_angle_alpha 117.06
_cell_angle_beta 90.00
_cell_angle_gamma 120.00
loop_
_atom_site_label
_atom_site_fract_x
_atom_site_fract_y
_atom_site_fract_z
_atom_site_occupancy
Sm1 0.0000 0.0000 0.5000 1
U1 0.5000 0.0000 0.5000 1
U2 0.5000 0.5000 0.5000 1
U3 0.0000 0.5000 0.5000 1
Tl1 0.0000 0.0000 0.0000 1
Tl2 0.0000 0.5000 0.0000 1
Tl3 0.5000 0.5000 0.0000 1
Se1 0.2649 0.5298 0.2949 1
Se2 0.7351 0.4702 0.7051 1
Se3 0.7614 0.5228 0.2949 1
Se4 0.2386 0.4772 0.7051 1
Se5 0.7614 0.0333 0.2949 1
Se6 0.2386 0.9667 0.7051 1
Se7 0.2719 0.0333 0.2949 1
Se8 0.7281 0.9667 0.7051 1
```

---

7.
VASP calculation (GGA-PBE) on a geometry-optimized CeGa2Pt5 structure.

Calculated volume (Å³/atom): 17.79
Calculated formation energy (meV/atom): -751
SG: Immm, No. 71

```
data_CeGa2Pt5
_space_group_name_H-M_alt 'P 1'
_space_group_IT_number 1
_space_group_name_Hall 'P 1'
_cell_length_a 3.9206
_cell_length_b 6.4915
_cell_length_c 6.4915
_cell_angle_alpha 67.60
_cell_angle_beta 72.42
_cell_angle_gamma 72.42
loop_
_atom_site_label
_atom_site_fract_x
_atom_site_fract_y
_atom_site_fract_z
_atom_site_occupancy
Ce1 0.0000 0.0000 0.0000 1
Ga1 0.7522 0.7478 0.7478 1
Ga2 0.2478 0.2522 0.2522 1
Pt1 0.0000 0.5000 0.5000 1
Pt2 0.6399 0.5600 0.1603 1
Pt3 0.3601 0.4400 0.8397 1
Pt4 0.3601 0.8397 0.4400 1
Pt5 0.6399 0.1603 0.5600 1
```

---

8.
VASP calculation (GGA-PBE) on a geometry-optimized LaPr2Al2 structure.

Calculated volume (Å³/atom): 30.50
Calculated formation energy (meV/atom): -175
SG: C2/m, No. 12

```
data_LaPr2Al2
_space_group_name_H-M_alt 'P 1'
_space_group_IT_number 1
_space_group_name_Hall 'P 1'
_cell_length_a 3.8514
_cell_length_b 6.2634
_cell_length_c 6.7132
_cell_angle_alpha 100.08
_cell_angle_beta 106.67
_cell_angle_gamma 90.00
loop_
_atom_site_label
_atom_site_fract_x
_atom_site_fract_y
_atom_site_fract_z
_atom_site_occupancy
La1 0.0000 0.0000 0.0000 1
Pr1 0.3647 0.4317 0.7293 1
Pr2 0.6353 0.5683 0.2707 1
Al1 0.7094 0.1072 0.4189 1
Al2 0.2905 0.8928 0.5811 1
```

---

9.
VASP calculation (GGA-PBE) on a geometry-optimized HfTaMoPt structure.

Calculated volume (Å³/atom): 17.40
Calculated formation energy (meV/atom): -468
SG: F-43m, No. 216

```
data_HfTaMoPt
_space_group_name_H-M_alt 'P 1'
_space_group_IT_number 1
_space_group_name_Hall 'P 1'
_cell_length_a 4.6176
_cell_length_b 4.6176
_cell_length_c 4.6176
_cell_angle_alpha 60.00
_cell_angle_beta 60.00
_cell_angle_gamma 60.00
loop_
_atom_site_label
_atom_site_fract_x
_atom_site_fract_y
_atom_site_fract_z
_atom_site_occupancy
Mo1 0.2500 0.2500 0.2500 1
Hf1 0.0000 0.0000 0.0000 1
Pt1 0.7500 0.7500 0.7500 1
Ta1 0.5000 0.5000 0.5000 1
```

---

10.
VASP calculation (GGA-PBE) on a geometry-optimized SrAlAu3 structure.

Calculated volume (Å³/atom): 24.65
Calculated formation energy (meV/atom): -485
SG: Pm-3m, No. 221

```
data_SrAlAu3
_space_group_name_H-M_alt 'P 1'
_space_group_IT_number 1
_space_group_name_Hall 'P 1'
_cell_length_a 4.9768
_cell_length_b 4.9768
_cell_length_c 4.9768
_cell_angle_alpha 90.00
_cell_angle_beta 90.00
_cell_angle_gamma 90.00
loop_
_atom_site_label
_atom_site_fract_x
_atom_site_fract_y
_atom_site_fract_z
_atom_site_occupancy
Sr1 0.5000 0.5000 0.5000 1
Au1 0.0000 0.5000 0.0000 1
Au2 0.0000 0.0000 0.5000 1
Au3 0.5000 0.0000 0.0000 1
Al1 0.0000 0.0000 0.0000 1
```

---

11.
VASP calculation (GGA-PBE) on a geometry-optimized ScSeO3 structure.

Calculated volume (Å³/atom): 13.01
SG: Pm-3m, No. 221
Energy relative to the elements, uncorrected (kcal/mol of atoms): -23.862

```
data_ScSeO3
_space_group_name_H-M_alt 'P 1'
_space_group_IT_number 1
_space_group_name_Hall 'P 1'
_cell_length_a 4.0220
_cell_length_b 4.0220
_cell_length_c 4.0220
_cell_angle_alpha 90.00
_cell_angle_beta 90.00
_cell_angle_gamma 90.00
loop_
_atom_site_label
_atom_site_fract_x
_atom_site_fract_y
_atom_site_fract_z
_atom_site_occupancy
Sc1 0.0000 0.0000 0.0000 1
O1 0.0000 0.5000 0.0000 1
O2 0.0000 0.0000 0.5000 1
O3 0.5000 0.0000 0.0000 1
Se1 0.5000 0.5000 0.5000 1
```

---

12.
VASP calculation (GGA-PBE) on a geometry-optimized Pm7PrNd2 structure.

Calculated volume (Å³/atom): 36.63
Calculated formation energy (meV/atom): 376
SG: Cmmm, No. 65

```
data_Pm7PrNd2
_space_group_name_H-M_alt 'P 1'
_space_group_IT_number 1
_space_group_name_Hall 'P 1'
_cell_length_a 3.5492
_cell_length_b 10.4593
_cell_length_c 10.4592
_cell_angle_alpha 109.35
_cell_angle_beta 90.00
_cell_angle_gamma 90.00
loop_
_atom_site_label
_atom_site_fract_x
_atom_site_fract_y
_atom_site_fract_z
_atom_site_occupancy
Pm1 0.0000 0.6742 0.3258 1
Pm2 0.0000 0.3258 0.6742 1
Pm3 0.5000 0.1285 0.3860 1
Pm4 0.5000 0.8715 0.6140 1
Pm5 0.5000 0.3860 0.1285 1
Pm6 0.5000 0.6140 0.8715 1
Pm7 0.5000 0.5000 0.5000 1
Pr1 0.0000 0.0000 0.0000 1
Nd1 0.5000 0.8276 0.1724 1
Nd2 0.5000 0.1724 0.8276 1
```

---

13.
VASP calculation (GGA-PBE) on a geometry-optimized TaMo structure.

Calculated volume (Å³/atom): 16.89
Calculated formation energy (meV/atom): -119
SG: Pmm2, No. 25

```
data_TaMo
_space_group_name_H-M_alt 'P 1'
_space_group_IT_number 1
_space_group_name_Hall 'P 1'
_cell_length_a 3.2299
_cell_length_b 4.5888
_cell_length_c 9.1191
_cell_angle_alpha 90.00
_cell_angle_beta 90.00
_cell_angle_gamma 90.00
loop_
_atom_site_label
_atom_site_fract_x
_atom_site_fract_y
_atom_site_fract_z
_atom_site_occupancy
Mo1 0.0000 0.0000 0.0043 1
Mo2 0.5000 0.0000 0.2485 1
Mo3 0.0000 0.0000 0.4946 1
Mo4 0.5000 0.5000 0.0009 1
Ta1 0.5000 0.0000 0.7506 1
Ta2 0.0000 0.5000 0.2427 1
Ta3 0.5000 0.5000 0.5002 1
Ta4 0.0000 0.5000 0.7582 1
```

---

14.
VASP calculation (GGA-PBE) on a geometry-optimized Ba3RuSe structure.

Calculated volume (Å³/atom): 38.81
SG: Pm-3m, No. 221
Energy relative to the elements, uncorrected (kcal/mol of atoms): -7.036

```
data_Ba3RuSe
_space_group_name_H-M_alt 'P 1'
_space_group_IT_number 1
_space_group_name_Hall 'P 1'
_cell_length_a 5.7896
_cell_length_b 5.7896
_cell_length_c 5.7896
_cell_angle_alpha 90.00
_cell_angle_beta 90.00
_cell_angle_gamma 90.00
loop_
_atom_site_label
_atom_site_fract_x
_atom_site_fract_y
_atom_site_fract_z
_atom_site_occupancy
Ru1 0.0000 0.0000 0.0000 1
Ba1 0.0000 0.5000 0.0000 1
Ba2 0.0000 0.0000 0.5000 1
Ba3 0.5000 0.0000 0.0000 1
Se1 0.5000 0.5000 0.5000 1
```

---

15.
VASP calculation (GGA-PBE) on a geometry-optimized SrCr2Rh structure.

Calculated volume (Å³/atom): 19.67
Calculated formation energy (meV/atom): 744
SG: I4/mmm, No. 139

```
data_SrCr2Rh
_space_group_name_H-M_alt 'P 1'
_space_group_IT_number 1
_space_group_name_Hall 'P 1'
_cell_length_a 5.2228
_cell_length_b 5.2228
_cell_length_c 5.2228
_cell_angle_alpha 131.31
_cell_angle_beta 131.31
_cell_angle_gamma 71.32
loop_
_atom_site_label
_atom_site_fract_x
_atom_site_fract_y
_atom_site_fract_z
_atom_site_occupancy
Cr1 0.0000 0.0000 0.0000 1
Cr2 0.5000 0.5000 0.0000 1
Rh1 0.2500 0.7500 0.5000 1
Sr1 0.7500 0.2500 0.5000 1
```

---

16.
VASP calculation (GGA-PBE) on a geometry-optimized Rb2PdCl5 structure.

Calculated volume (Å³/atom): 31.84
SG: P4/mmm, No. 123
Energy relative to the elements, uncorrected (kcal/mol of atoms): -29.112

```
data_Rb2PdCl5
_space_group_name_H-M_alt 'P 1'
_space_group_IT_number 1
_space_group_name_Hall 'P 1'
_cell_length_a 5.0327
_cell_length_b 7.1139
_cell_length_c 7.1139
_cell_angle_alpha 90.00
_cell_angle_beta 90.00
_cell_angle_gamma 90.00
loop_
_atom_site_label
_atom_site_fract_x
_atom_site_fract_y
_atom_site_fract_z
_atom_site_occupancy
Rb1 0.5000 0.5000 0.0000 1
Rb2 0.5000 0.0000 0.5000 1
Pd1 0.0000 0.0000 0.0000 1
Cl1 0.0000 0.7651 0.7651 1
Cl2 0.0000 0.2349 0.7651 1
Cl3 0.0000 0.7651 0.2349 1
Cl4 0.5000 0.0000 0.0000 1
Cl5 0.0000 0.2349 0.2349 1
```

---

17.
VASP calculation (GGA-PBE) on a geometry-optimized La3CdO structure.

Calculated volume (Å³/atom): 31.14
SG: Fd-3m, No. 227
Energy relative to the elements, uncorrected (kcal/mol of atoms): -20.108

```
data_La3CdO
_space_group_name_H-M_alt 'P 1'
_space_group_IT_number 1
_space_group_name_Hall 'P 1'
_cell_length_a 9.5858
_cell_length_b 9.5858
_cell_length_c 9.5858
_cell_angle_alpha 60.00
_cell_angle_beta 60.00
_cell_angle_gamma 60.00
loop_
_atom_site_label
_atom_site_fract_x
_atom_site_fract_y
_atom_site_fract_z
_atom_site_occupancy
Cd1 0.6250 0.6250 0.6250 1
Cd2 0.6250 0.1250 0.6250 1
Cd3 0.1250 0.6250 0.6250 1
Cd4 0.6250 0.6250 0.1250 1
O1 0.1250 0.1250 0.1250 1
O2 0.1250 0.6250 0.1250 1
O3 0.6250 0.1250 0.1250 1
O4 0.1250 0.1250 0.6250 1
La1 0.8096 0.1904 0.1904 1
La2 0.0596 0.4404 0.4404 1
La3 0.4404 0.4404 0.0596 1
La4 0.4404 0.0596 0.0596 1
La5 0.0596 0.4404 0.0596 1
La6 0.8096 0.1904 0.8096 1
La7 0.4404 0.0596 0.4404 1
La8 0.0596 0.0596 0.4404 1
La9 0.1904 0.8096 0.1904 1
La10 0.1904 0.8096 0.8096 1
La11 0.1904 0.1904 0.8096 1
La12 0.8096 0.8096 0.1904 1
```

---

18.
VASP calculation (GGA-PBE) on a geometry-optimized Cr2GaSi2 structure.

Calculated volume (Å³/atom): 13.78
SG: I4/mmm, No. 139
Energy relative to the elements, uncorrected (kcal/mol of atoms): 0.077

```
data_Cr2GaSi2
_space_group_name_H-M_alt 'P 1'
_space_group_IT_number 1
_space_group_name_Hall 'P 1'
_cell_length_a 3.3691
_cell_length_b 3.3691
_cell_length_c 6.5199
_cell_angle_alpha 75.03
_cell_angle_beta 75.03
_cell_angle_gamma 90.00
loop_
_atom_site_label
_atom_site_fract_x
_atom_site_fract_y
_atom_site_fract_z
_atom_site_occupancy
Cr1 0.3958 0.3958 0.2084 1
Cr2 0.6042 0.6042 0.7916 1
Si1 0.7500 0.2500 0.5000 1
Si2 0.2500 0.7500 0.5000 1
Ga1 0.0000 0.0000 0.0000 1
```

---

19.
VASP calculation (GGA-PBE) on a geometry-optimized SmMg5Pd6 structure.

Calculated volume (Å³/atom): 17.42
Calculated formation energy (meV/atom): -720
SG: P2/m, No. 10

```
data_SmMg5Pd6
_space_group_name_H-M_alt 'P 1'
_space_group_IT_number 1
_space_group_name_Hall 'P 1'
_cell_length_a 4.5959
_cell_length_b 6.6113
_cell_length_c 7.3783
_cell_angle_alpha 90.00
_cell_angle_beta 111.19
_cell_angle_gamma 90.00
loop_
_atom_site_label
_atom_site_fract_x
_atom_site_fract_y
_atom_site_fract_z
_atom_site_occupancy
Mg1 0.6655 0.5000 0.3297 1
Mg2 0.3239 0.0000 0.6544 1
Mg3 0.0000 0.5000 0.0000 1
Mg4 0.6761 0.0000 0.3456 1
Mg5 0.3345 0.5000 0.6703 1
Pd1 0.8284 0.7391 0.6579 1
Pd2 0.8284 0.2609 0.6579 1
Pd3 0.5000 0.2670 0.0000 1
Pd4 0.5000 0.7330 0.0000 1
Pd5 0.1716 0.7391 0.3421 1
Pd6 0.1716 0.2609 0.3421 1
Sm1 0.0000 0.0000 0.0000 1
```

---

20.
VASP calculation (GGA-PBE) on a geometry-optimized Cd2ReIO structure.

Calculated volume (Å³/atom): 36.29
SG: P4/mmm, No. 123
Energy relative to the elements, uncorrected (kcal/mol of atoms): 46.066

```
data_Cd2ReIO
_space_group_name_H-M_alt 'P 1'
_space_group_IT_number 1
_space_group_name_Hall 'P 1'
_cell_length_a 5.9620
_cell_length_b 5.1053
_cell_length_c 5.9620
_cell_angle_alpha 90.00
_cell_angle_beta 90.00
_cell_angle_gamma 90.00
loop_
_atom_site_label
_atom_site_fract_x
_atom_site_fract_y
_atom_site_fract_z
_atom_site_occupancy
I1 0.0000 0.0000 0.0000 1
Re1 0.0000 0.5000 0.0000 1
O1 0.5000 0.5000 0.5000 1
Cd1 0.0000 0.0000 0.5000 1
Cd2 0.5000 0.0000 0.0000 1
```